DFT (PBE-GGA) results for NpCdOs after structural relaxation.

abc: 4.6070 4.6070 4.6070
angles: 60.00 60.00 60.00
With the nearest neighbours (Å) after each atom.
Sites, in units of the cell vectors:
Np  0.0000  0.0000  0.0000  4 Os 2.82
Cd  0.5000  0.5000  0.5000  4 Os 2.82
Os  0.7500  0.7500  0.7500  4 Cd 2.82, 4 Np 2.82

Computed properties:
The energy relative to the elements is 0.492 eV per atom. Its space group is No. 216.

---

DFT (PBE-GGA) results for NpPaCd after structural relaxation.

abc: 4.8568 4.8568 4.8568
angles: 60.00 60.00 60.00
With the nearest neighbours (Å) after each atom.
Sites, in units of the cell vectors:
Np  0.0000  0.0000  0.0000  4 Pa 2.97
Pa  0.7500  0.7500  0.7500  4 Cd 2.97, 4 Np 2.97
Cd  0.5000  0.5000  0.5000  4 Pa 2.97

Computed properties:
The energy relative to the elements is 0.833 eV per atom. Its space group is No. 216.

---

DFT (PBE-GGA) results for PmNpCd after structural relaxation.

abc: 5.0121 5.0121 5.0121
angles: 60.00 60.00 60.00
With the nearest neighbours (Å) after each atom.
Sites, in units of the cell vectors:
Pm  0.0000  0.0000  0.0000  4 Cd 3.07, 4 Np 3.07
Np  0.2500  0.2500  0.2500  4 Pm 3.07
Cd  0.7500  0.7500  0.7500  4 Pm 3.07

Computed properties:
The energy relative to the elements is 0.865 eV per atom. Its space group is No. 216.

---

DFT (PBE-GGA) results for PrNpCd after structural relaxation.

abc: 5.0627 5.0627 5.0627
angles: 60.00 60.00 60.00
With the nearest neighbours (Å) after each atom.
Sites, in units of the cell vectors:
Pr  0.0000  0.0000  0.0000  4 Cd 3.10, 4 Np 3.10
Np  0.2500  0.2500  0.2500  4 Pr 3.10
Cd  0.7500  0.7500  0.7500  4 Pr 3.10

Computed properties:
The energy relative to the elements is 0.854 eV per atom. Its space group is No. 216.

---

DFT (PBE-GGA) results for NpCdSi after structural relaxation.

abc: 4.6461 4.6461 4.6461
angles: 60.00 60.00 60.00
With the nearest neighbours (Å) after each atom.
Sites, in units of the cell vectors:
Np  0.0000  0.0000  0.0000  4 Si 2.85
Cd  0.5000  0.5000  0.5000  4 Si 2.85
Si  0.7500  0.7500  0.7500  4 Cd 2.85, 4 Np 2.85

Computed properties:
Its space group is No. 216.

---

DFT (PBE-GGA) results for SrNpCd after structural relaxation.

abc: 5.2857 5.2857 5.2857
angles: 60.00 60.00 60.00
With the nearest neighbours (Å) after each atom.
Sites, in units of the cell vectors:
Sr  0.0000  0.0000  0.0000  4 Np 3.24
Np  0.7500  0.7500  0.7500  4 Cd 3.24, 4 Sr 3.24
Cd  0.5000  0.5000  0.5000  4 Np 3.24

Computed properties:
The excess energy over the best structure of this formula in the dataset is 0 kJ/mol of formula units. Its space group is No. 216.

---

DFT (PBE-GGA) results for NpCdTc after structural relaxation.

abc: 4.5976 4.5976 4.5976
angles: 60.00 60.00 60.00
With the nearest neighbours (Å) after each atom.
Sites, in units of the cell vectors:
Np  0.0000  0.0000  0.0000  4 Cd 2.82, 4 Tc 2.82
Cd  0.7500  0.7500  0.7500  4 Np 2.82
Tc  0.2500  0.2500  0.2500  4 Np 2.82

Computed properties:
The energy relative to the elements is 1.186 eV per atom. Its space group is No. 216.

---

DFT (PBE-GGA) results for NpCdTe after structural relaxation.

abc: 5.1099 5.1099 5.1099
angles: 60.00 60.00 60.00
With the nearest neighbours (Å) after each atom.
Sites, in units of the cell vectors:
Np  0.0000  0.0000  0.0000  4 Te 3.13
Cd  0.5000  0.5000  0.5000  4 Te 3.13
Te  0.7500  0.7500  0.7500  4 Cd 3.13, 4 Np 3.13

Computed properties:
Its space group is No. 216.

---

DFT (PBE-GGA) results for NpUCd after structural relaxation.

abc: 4.7920 4.7920 4.7920
angles: 60.00 60.00 60.00
With the nearest neighbours (Å) after each atom.
Sites, in units of the cell vectors:
Np  0.0000  0.0000  0.0000  4 U 2.93
U  0.7500  0.7500  0.7500  4 Cd 2.93, 4 Np 2.93
Cd  0.5000  0.5000  0.5000  4 U 2.93

Computed properties:
The energy relative to the elements is 0.901 eV per atom. Its space group is No. 216.

---

DFT (PBE-GGA) results for NpZnCd after structural relaxation.

abc: 4.7225 4.7225 4.7225
angles: 60.00 60.00 60.00
With the nearest neighbours (Å) after each atom.
Sites, in units of the cell vectors:
Np  0.0000  0.0000  0.0000  4 Zn 2.89
Zn  0.7500  0.7500  0.7500  4 Np 2.89, 4 Cd 2.89
Cd  0.5000  0.5000  0.5000  4 Zn 2.89

Computed properties:
The energy relative to the elements is 0.457 eV per atom. Its space group is No. 216.

---

DFT (PBE-GGA) results for Cd5O after structural relaxation.

abc: 5.5687 5.5687 5.0267
angles: 90.00 90.00 120.00
With the nearest neighbours (Å) after each atom.
Sites, in units of the cell vectors:
Cd  0.0000  0.5000  0.0000  8 Cd 2.78-2.98
Cd  0.3333  0.6667  0.5000  9 Cd 2.98-3.22, 3 O 3.22
Cd  0.5000  0.0000  0.0000  8 Cd 2.78-2.98
Cd  0.5000  0.5000  0.0000  8 Cd 2.78-2.98
Cd  0.6667  0.3333  0.5000  9 Cd 2.98-3.22, 3 O 3.22
O  0.0000  0.0000  0.5000  6 Cd 3.22

Computed properties:
Its space group is No. 191.

---

DFT (PBE-GGA) results for CdOsO3 after structural relaxation.

abc: 5.3664 7.6824 5.4970
angles: 90.00 90.00 90.00
With the nearest neighbours (Å) after each atom.
Sites, in units of the cell vectors:
Cd  0.0485  0.2500  0.0088  4 O 2.21-2.46
Cd  0.4515  0.7500  0.5088  4 O 2.21-2.46
Cd  0.5485  0.2500  0.4912  4 O 2.21-2.46
Cd  0.9515  0.7500  0.9912  4 O 2.21-2.46
Os  0.0000  0.0000  0.5000  6 O 2.01-2.02
Os  0.0000  0.5000  0.5000  6 O 2.01-2.02
Os  0.5000  0.0000  0.0000  6 O 2.01-2.02
Os  0.5000  0.5000  0.0000  6 O 2.01-2.02
O  0.0090  0.7500  0.3891  2 Os 2.02, 1 Cd 2.21
O  0.1969  0.5566  0.8005  2 Os 2.01, 1 Cd 2.25
O  0.1969  0.9434  0.8005  2 Os 2.01, 1 Cd 2.25
O  0.3031  0.0566  0.3005  2 Os 2.01, 1 Cd 2.25
O  0.3031  0.4434  0.3005  2 Os 2.01, 1 Cd 2.25
O  0.4910  0.2500  0.8891  2 Os 2.02, 1 Cd 2.21
O  0.5090  0.7500  0.1109  2 Os 2.02, 1 Cd 2.21
O  0.6969  0.5566  0.6995  2 Os 2.01, 1 Cd 2.25
O  0.6969  0.9434  0.6995  2 Os 2.01, 1 Cd 2.25
O  0.8031  0.0566  0.1995  2 Os 2.01, 1 Cd 2.25
O  0.8031  0.4434  0.1995  2 Os 2.01, 1 Cd 2.25
O  0.9910  0.2500  0.6109  2 Os 2.02, 1 Cd 2.21

Computed properties:
Its space group is No. 62.

---

DFT (PBE-GGA) results for CdOsO3 after structural relaxation.

abc: 3.8425 3.8425 4.0424
angles: 90.00 90.00 90.00
With the nearest neighbours (Å) after each atom.
Sites, in units of the cell vectors:
Cd  0.0000  0.0000  0.0000  12 O 2.72-2.80
Os  0.5000  0.5000  0.4960  6 O 1.92-2.02
O  0.0000  0.5000  0.4957  2 Os 1.92
O  0.5000  0.0000  0.4957  2 Os 1.92
O  0.5000  0.5000  0.9954  2 Os 2.02

Computed properties:
Its space group is No. 99.

---

DFT (PBE-GGA) results for CdOsO3 after structural relaxation.

abc: 5.8684 5.8684 5.8684
angles: 54.77 54.77 54.77
With the nearest neighbours (Å) after each atom.
Sites, in units of the cell vectors:
Cd  0.1338  0.1338  0.1338  3 O 2.21
Cd  0.8662  0.8662  0.8662  3 O 2.21
Os  0.3404  0.3404  0.3404  6 O 2.02-2.03
Os  0.6596  0.6596  0.6596  6 O 2.02-2.03
O  0.0600  0.4550  0.7056  2 Os 2.02-2.03, 1 Cd 2.21
O  0.2944  0.9400  0.5450  2 Os 2.02-2.03, 1 Cd 2.21
O  0.4550  0.7056  0.0600  2 Os 2.02-2.03, 1 Cd 2.21
O  0.5450  0.2944  0.9400  2 Os 2.02-2.03, 1 Cd 2.21
O  0.7056  0.0600  0.4550  2 Os 2.02-2.03, 1 Cd 2.21
O  0.9400  0.5450  0.2944  2 Os 2.02-2.03, 1 Cd 2.21

Computed properties:
Its space group is No. 148.

---

DFT (PBE-GGA) results for CdOsO3 after structural relaxation.

abc: 6.9924 6.9924 5.6968
angles: 93.17 93.17 84.82
With the nearest neighbours (Å) after each atom.
Sites, in units of the cell vectors:
Cd  0.0916  0.9084  0.7500  6 O 2.25-2.39
Cd  0.3038  0.6962  0.2500  6 O 2.22-2.37
Cd  0.6962  0.3038  0.7500  6 O 2.22-2.37
Cd  0.9084  0.0916  0.2500  6 O 2.25-2.39
Os  0.1885  0.3807  0.7387  4 O 1.85-1.94
Os  0.3807  0.1885  0.2387  4 O 1.85-1.94
Os  0.6193  0.8115  0.7613  4 O 1.85-1.94
Os  0.8115  0.6193  0.2613  4 O 1.85-1.94
O  0.0032  0.2189  0.6034  1 Os 1.90
O  0.1534  0.6109  0.9124  1 Os 1.85
O  0.2189  0.0032  0.1034  1 Os 1.90
O  0.2761  0.4010  0.4241  2 Os 1.89-1.94
O  0.3891  0.8466  0.5876  1 Os 1.85
O  0.4010  0.2761  0.9241  2 Os 1.89-1.94
O  0.5990  0.7239  0.0759  2 Os 1.89-1.94
O  0.6109  0.1534  0.4124  1 Os 1.85
O  0.7239  0.5990  0.5759  2 Os 1.89-1.94
O  0.7811  0.9968  0.8966  1 Os 1.90
O  0.8466  0.3891  0.0876  1 Os 1.85
O  0.9968  0.7811  0.3966  1 Os 1.90

Computed properties:
Its space group is No. 15.

---

DFT (PBE-GGA) results for CdOsO3 after structural relaxation.

abc: 5.2870 5.2870 5.2870
angles: 63.73 63.73 63.73
With the nearest neighbours (Å) after each atom.
Sites, in units of the cell vectors:
Cd  0.2500  0.2500  0.2500  3 O 2.20
Cd  0.7500  0.7500  0.7500  3 O 2.20
Os  0.0000  0.0000  0.0000  6 O 2.01
Os  0.5000  0.5000  0.5000  6 O 2.01
O  0.1443  0.7500  0.3557  2 Os 2.01, 1 Cd 2.20
O  0.2500  0.6443  0.8557  2 Os 2.01, 1 Cd 2.20
O  0.3557  0.1443  0.7500  2 Os 2.01, 1 Cd 2.20
O  0.6443  0.8557  0.2500  2 Os 2.01, 1 Cd 2.20
O  0.7500  0.3557  0.1443  2 Os 2.01, 1 Cd 2.20
O  0.8557  0.2500  0.6443  2 Os 2.01, 1 Cd 2.20

Computed properties:
Its space group is No. 167.

---

DFT (PBE-GGA) results for Cd2OsO4 after structural relaxation.

abc: 5.5658 9.9256 3.1819
angles: 90.00 90.00 90.00
With the nearest neighbours (Å) after each atom.
Sites, in units of the cell vectors:
Cd  0.0502  0.1757  0.0000  6 O 2.28-2.48
Cd  0.4498  0.6757  0.0000  6 O 2.28-2.48
Cd  0.5502  0.3243  0.0000  6 O 2.28-2.48
Cd  0.9498  0.8243  0.0000  6 O 2.28-2.48
Os  0.0000  0.5000  0.5000  6 O 1.99-2.05
Os  0.5000  0.0000  0.5000  6 O 1.99-2.05
O  0.1386  0.6851  0.5000  1 Os 1.99
O  0.2222  0.4612  0.0000  2 Os 2.05, 1 Cd 2.28
O  0.2778  0.9612  0.0000  2 Os 2.05, 1 Cd 2.28
O  0.3614  0.1851  0.5000  1 Os 1.99
O  0.6386  0.8149  0.5000  1 Os 1.99
O  0.7222  0.0388  0.0000  2 Os 2.05, 1 Cd 2.28
O  0.7778  0.5388  0.0000  2 Os 2.05, 1 Cd 2.28
O  0.8614  0.3149  0.5000  1 Os 1.99

Computed properties:
Its space group is No. 55.

---

DFT (PBE-GGA) results for CdOs2O6 after structural relaxation.

abc: 5.2467 5.2467 4.6816
angles: 90.00 90.00 120.00
With the nearest neighbours (Å) after each atom.
Sites, in units of the cell vectors:
Cd  0.0000  0.0000  0.0000  6 O 2.34
Os  0.3333  0.6667  0.5000  6 O 1.96
Os  0.6667  0.3333  0.5000  6 O 1.96
O  0.0000  0.3709  0.2766  2 Os 1.96
O  0.0000  0.6291  0.7234  2 Os 1.96
O  0.3709  0.0000  0.2766  2 Os 1.96
O  0.3709  0.3709  0.7234  2 Os 1.96
O  0.6291  0.0000  0.7234  2 Os 1.96
O  0.6291  0.6291  0.2766  2 Os 1.96

Computed properties:
Its space group is No. 162.

---

DFT (PBE-GGA) results for CdOs2O4 after structural relaxation.

abc: 6.3117 6.3117 6.3117
angles: 60.00 60.00 60.00
With the nearest neighbours (Å) after each atom.
Sites, in units of the cell vectors:
Cd  0.1250  0.1250  0.1250  4 O 2.20
Cd  0.8750  0.8750  0.8750  4 O 2.20
Os  0.0000  0.5000  0.5000  6 O 2.09
Os  0.5000  0.0000  0.5000  6 O 2.09
Os  0.5000  0.5000  0.0000  6 O 2.09
Os  0.5000  0.5000  0.5000  6 O 2.09
O  0.2674  0.2674  0.2674  3 Os 2.09, 1 Cd 2.20
O  0.2674  0.2674  0.6979  3 Os 2.09, 1 Cd 2.20
O  0.2674  0.6979  0.2674  3 Os 2.09, 1 Cd 2.20
O  0.3021  0.7326  0.7326  3 Os 2.09, 1 Cd 2.20
O  0.6979  0.2674  0.2674  3 Os 2.09, 1 Cd 2.20
O  0.7326  0.3021  0.7326  3 Os 2.09, 1 Cd 2.20
O  0.7326  0.7326  0.3021  3 Os 2.09, 1 Cd 2.20
O  0.7326  0.7326  0.7326  3 Os 2.09, 1 Cd 2.20

Computed properties:
Its space group is No. 227.

---

DFT (PBE-GGA) results for CdOsPb2O6 after structural relaxation.

abc: 5.8131 5.8131 5.8131
angles: 60.00 60.00 60.00
With the nearest neighbours (Å) after each atom.
Sites, in units of the cell vectors:
Cd  0.0000  0.0000  0.0000  6 O 2.20
Os  0.5000  0.5000  0.5000  6 O 1.91
Pb  0.2500  0.2500  0.2500  12 O 2.91
Pb  0.7500  0.7500  0.7500  12 O 2.91
O  0.2682  0.2682  0.7318  1 Os 1.91
O  0.2682  0.7318  0.2682  1 Os 1.91
O  0.2682  0.7318  0.7318  1 Os 1.91
O  0.7318  0.2682  0.2682  1 Os 1.91
O  0.7318  0.2682  0.7318  1 Os 1.91
O  0.7318  0.7318  0.2682  1 Os 1.91

Computed properties:
The excess energy over the best structure of this formula in the dataset is 66 kJ/mol of formula units. Its space group is No. 225.

---

DFT (PBE-GGA) results for CdOsPb2O6 after structural relaxation.

abc: 5.8246 5.8246 5.8246
angles: 121.48 121.48 87.46
With the nearest neighbours (Å) after each atom.
Sites, in units of the cell vectors:
Cd  0.0000  0.0000  0.0000  6 O 2.27
Os  0.5000  0.5000  0.0000  6 O 1.93-1.94
Pb  0.2500  0.7500  0.5000  4 O 2.54
Pb  0.7500  0.2500  0.5000  4 O 2.54
O  0.1980  0.6539  0.8519  1 Os 1.93
O  0.2695  0.2695  0.0000  1 Os 1.94
O  0.3461  0.1980  0.5440  1 Os 1.93
O  0.6539  0.8020  0.4560  1 Os 1.93
O  0.7305  0.7305  0.0000  1 Os 1.94
O  0.8020  0.3461  0.1481  1 Os 1.93

Computed properties:
The excess energy over the best structure of this formula in the dataset is 0 kJ/mol of formula units. Its space group is No. 87.

---

DFT (PBE-GGA) results for Cd3Os4PbO12 after structural relaxation.

abc: 6.7422 6.7422 6.7422
angles: 109.47 109.47 109.47
With the nearest neighbours (Å) after each atom.
Sites, in units of the cell vectors:
Cd  0.0000  0.5000  0.5000  4 O 2.24
Cd  0.5000  0.0000  0.5000  4 O 2.24
Cd  0.5000  0.5000  0.0000  4 O 2.24
Os  0.0000  0.0000  0.5000  6 O 2.01
Os  0.0000  0.5000  0.0000  6 O 2.01
Os  0.5000  0.0000  0.0000  6 O 2.01
Os  0.5000  0.5000  0.5000  6 O 2.01
Pb  0.0000  0.0000  0.0000  12 O 2.78
O  0.0931  0.2945  0.7987  2 Os 2.01, 1 Cd 2.24
O  0.2013  0.4958  0.2945  2 Os 2.01, 1 Cd 2.24
O  0.2013  0.9069  0.7055  2 Os 2.01, 1 Cd 2.24
O  0.2945  0.2013  0.4958  2 Os 2.01, 1 Cd 2.24
O  0.2945  0.7987  0.0931  2 Os 2.01, 1 Cd 2.24
O  0.4958  0.2945  0.2013  2 Os 2.01, 1 Cd 2.24
O  0.5042  0.7055  0.7987  2 Os 2.01, 1 Cd 2.24
O  0.7055  0.2013  0.9069  2 Os 2.01, 1 Cd 2.24
O  0.7055  0.7987  0.5042  2 Os 2.01, 1 Cd 2.24
O  0.7987  0.0931  0.2945  2 Os 2.01, 1 Cd 2.24
O  0.7987  0.5042  0.7055  2 Os 2.01, 1 Cd 2.24
O  0.9069  0.7055  0.2013  2 Os 2.01, 1 Cd 2.24

Computed properties:
Its space group is No. 204.

---

DFT (PBE-GGA) results for SrCd3Os4O12 after structural relaxation.

abc: 6.7254 6.7254 6.7254
angles: 109.47 109.47 109.47
With the nearest neighbours (Å) after each atom.
Sites, in units of the cell vectors:
Sr  0.0000  0.0000  0.0000  12 O 2.74
Cd  0.0000  0.5000  0.5000  4 O 2.24
Cd  0.5000  0.0000  0.5000  4 O 2.24
Cd  0.5000  0.5000  0.0000  4 O 2.24
Os  0.0000  0.0000  0.5000  6 O 2.01
Os  0.0000  0.5000  0.0000  6 O 2.01
Os  0.5000  0.0000  0.0000  6 O 2.01
Os  0.5000  0.5000  0.5000  6 O 2.01
O  0.0931  0.8010  0.2921  2 Os 2.01, 1 Cd 2.24
O  0.1990  0.2921  0.4911  2 Os 2.01, 1 Cd 2.24
O  0.1990  0.7079  0.9069  2 Os 2.01, 1 Cd 2.24
O  0.2921  0.0931  0.8010  2 Os 2.01, 1 Cd 2.24
O  0.2921  0.4911  0.1990  2 Os 2.01, 1 Cd 2.24
O  0.4911  0.1990  0.2921  2 Os 2.01, 1 Cd 2.24
O  0.5089  0.8010  0.7079  2 Os 2.01, 1 Cd 2.24
O  0.7079  0.5089  0.8010  2 Os 2.01, 1 Cd 2.24
O  0.7079  0.9069  0.1990  2 Os 2.01, 1 Cd 2.24
O  0.8010  0.2921  0.0931  2 Os 2.01, 1 Cd 2.24
O  0.8010  0.7079  0.5089  2 Os 2.01, 1 Cd 2.24
O  0.9069  0.1990  0.7079  2 Os 2.01, 1 Cd 2.24

Computed properties:
Its space group is No. 204.

---

| no. | DFT total energy (eV per atom) |
| --- | --- |
| 1 | -7.81 |
| 2 | -6.89 |
| 3 | -5.27 |
| 4 | -5.29 |
| 5 | -6.20 |
| 6 | -4.09 |
| 7 | -6.82 |
| 8 | -5.43 |
| 9 | -7.42 |
| 10 | -4.52 |
| 11 | -1.21 |
| 12 | -6.21 |
| 13 | -6.02 |
| 14 | -6.19 |
| 15 | -6.02 |
| 16 | -6.23 |
| 17 | -5.58 |
| 18 | -6.82 |
| 19 | -6.61 |
| 20 | -5.88 |
| 21 | -5.95 |
| 22 | -6.34 |
| 23 | -6.46 |